Density functional theory data (PBE-GGA) for a relaxed structure of ZnAgBi2Au.

Computed properties:
DFT total energy (eV per atom): -2.554
ρ (g/cm³): 9.4
Energy of formation from the pure elements (meV/atom): 479
Space-group type: P4/mmm (123)

Unit cell a=5.3766 b=5.3766 c=4.8320 alpha=90.00 beta=90.00 gamma=90.00
Fractional coordinates of all 5 atoms:
Zn: 0.0000 0.0000 0.0000
Ag: 0.5000 0.5000 0.5000
Bi: 0.0000 0.5000 0.0000
Bi: 0.5000 0.0000 0.0000
Au: 0.0000 0.0000 0.5000

Density functional theory data (PBE-GGA) for a relaxed structure of SrPr4Sb5.

Computed properties:
DFT total energy (eV per atom): -5.245
ρ (g/cm³): 6.1
Space-group type: Immm (71)

Unit cell a=12.2076 b=12.2076 c=12.2076 alpha=158.40 beta=149.13 gamma=37.99
Fractional coordinates of all 10 atoms:
Sr: 0.0000 0.0000 0.0000
Pr: 0.2012 0.2012 0.0000
Pr: 0.4008 0.4008 0.0000
Pr: 0.5992 0.5992 0.0000
Pr: 0.7988 0.7988 0.0000
Sb: 0.1058 0.6058 0.5000
Sb: 0.3011 0.8011 0.5000
Sb: 0.5000 0.0000 0.5000
Sb: 0.6989 0.1989 0.5000
Sb: 0.8942 0.3942 0.5000

Density functional theory data (PBE-GGA) for a relaxed structure of ScSn2Bi.

Computed properties:
DFT total energy (eV per atom): -4.326
ρ (g/cm³): 5.2
Energy of formation from the pure elements (meV/atom): 229
Space-group type: I-42d (122)

Unit cell a=8.1844 b=8.1844 c=8.1844 alpha=129.76 beta=129.76 gamma=73.79
Fractional coordinates of all 8 atoms:
Sc: 0.0000 0.0000 0.0000
Sc: 0.7500 0.2500 0.5000
Sn: 0.1200 0.6250 0.9950
Sn: 0.3750 0.3700 0.4950
Sn: 0.6300 0.1250 0.0050
Sn: 0.8750 0.8800 0.5050
Bi: 0.2500 0.7500 0.5000
Bi: 0.5000 0.5000 0.0000

Question: Which formula does entry 2 have?
Answer: SrPr4Sb5

Copy entry 1 word for word.
Density functional theory data (PBE-GGA) for a relaxed structure of ZnAgBi2Au.

Computed properties:
DFT total energy (eV per atom): -2.554
ρ (g/cm³): 9.4
Energy of formation from the pure elements (meV/atom): 479
Space-group type: P4/mmm (123)

Unit cell a=5.3766 b=5.3766 c=4.8320 alpha=90.00 beta=90.00 gamma=90.00
Fractional coordinates of all 5 atoms:
Zn: 0.0000 0.0000 0.0000
Ag: 0.5000 0.5000 0.5000
Bi: 0.0000 0.5000 0.0000
Bi: 0.5000 0.0000 0.0000
Au: 0.0000 0.0000 0.5000